Entry 1:
VASP calculation (PBE) on UGaAs2 after structural relaxation.

Lattice parameters (Å, degrees): 4.4689 4.4689 3.8029 90.00 90.00 90.00
Space group P4/mmm (No. 123)
Asymmetric unit:
U1 0.0000 0.0000 0.0000
Ga1 0.5000 0.5000 0.0000
As1 0.0000 0.5000 0.5000

- ρ (Mg/m³) = 10.0
- crystal system = tetragonal
- E_form (eV per atom) = -0.497
- total energy (eV/atom) = -6.40
- distance to the lowest polymorph of the same formula (eV/atom) = 0.000

***

Entry 2:
VASP calculation (PBE) on AlP2Pb after structural relaxation.

Lattice parameters (Å, degrees): 3.4094 3.4094 7.3400 90.00 90.00 90.00
Space group P4mm (No. 99)
Asymmetric unit:
Al1 0.0000 0.0000 0.0000
P1 0.0000 0.0000 0.3264
P2 0.5000 0.5000 0.3031
Pb1 0.5000 0.5000 0.7296

- ρ (Mg/m³) = 5.8
- crystal system = tetragonal
- E_form (eV per atom) = 0.258
- total energy (eV/atom) = -4.31
- distance to the lowest polymorph of the same formula (eV/atom) = 0.360